DFT (PBE) results for crystalline Cd5PdPt6 at its relaxed geometry.

a b c (Å): 4.154 7.935 12.503
angles (deg): 90.00 90.00 90.00
Space group Immm (No. 71)
Inequivalent atoms, fractional coordinates:
Cd1 0.000 0.000 0.000 x2
Cd2 0.000 0.000 0.340 x4
Cd3 0.000 0.500 0.331 x4
Pd1 0.000 0.500 0.000 x2
Pt1 0.000 0.249 0.166 x8
Pt2 0.000 0.252 0.500 x4

Summary:
Energy relative to the elements ... -286 meV/atom
DOS(E_F) ... 11.6 states/eV/cell

DFT (PBE) results for crystalline KSbP at its relaxed geometry.

a b c (Å): 9.996 3.473 10.819
angles (deg): 90.00 102.65 90.00
Space group P2_1/m (No. 11)
Inequivalent atoms, fractional coordinates:
K1 0.215 0.250 0.278 x2
K2 0.264 0.250 0.716 x2
Sb1 0.132 0.750 0.962 x2
Sb2 0.421 0.750 0.070 x2
P1 0.051 0.750 0.468 x2
P2 0.456 0.750 0.538 x2

Summary:
DOS(E_F) ... 3.9 states/eV/cell
Total energy ... -3.758 eV/atom

DFT (PBE) results for crystalline BaReCl6 at its relaxed geometry.

a b c (Å): 6.709 6.714 7.303
angles (deg): 90.03 117.31 119.92
Space group P-1 (No. 2)
Inequivalent atoms, fractional coordinates:
Ba1 0.000 0.000 0.000 x1
Re1 0.000 0.500 0.500 x1
Cl1 0.164 0.476 0.279 x2
Cl2 0.196 0.311 0.720 x2
Cl3 0.409 0.884 0.721 x2

Summary:
Total energy ... -4.480 eV/atom

DFT (PBE) results for crystalline Tb5Ho12Cd3 at its relaxed geometry.

a b c (Å): 18.376 18.376 18.376
angles (deg): 90.00 90.00 90.00
Space group Ia-3d (No. 230)
Inequivalent atoms, fractional coordinates:
Tb1 0.000 0.000 0.000 x16
Tb2 0.000 0.250 0.375 x24
Ho1 0.002 0.082 0.649 x96
Cd1 0.000 0.250 0.125 x24

Summary:
Energy relative to the elements ... 874 meV/atom
DOS(E_F) ... 264.6 states/eV/cell

DFT (PBE) results for crystalline Pm12Ag6Pd at its relaxed geometry.

a b c (Å): 11.3602 11.3602 14.1536
angles (deg): 90.00 90.00 120.00
Space group R-3 (No. 148, hexagonal axes)
Inequivalent atoms, fractional coordinates:
Pm1 0.0288 0.1867 0.3354 x18
Pm2 0.0575 0.8513 0.9014 x18
Ag1 0.0315 0.4334 0.2081 x18
Pd1 0.0000 0.0000 0.5000 x3

Summary:
Energy relative to the elements ... -106 meV/atom
DOS(E_F) ... 67.0 states/eV/cell

DFT (PBE) results for crystalline AlTl2Mo at its relaxed geometry.

a b c (Å): 3.977 4.604 9.604
angles (deg): 90.00 90.00 90.00
Space group Cmm2 (No. 35)
Inequivalent atoms, fractional coordinates:
Al1 0.000 0.000 0.000 x2
Tl1 0.000 0.000 0.578 x2
Tl2 0.000 0.500 0.260 x2
Mo1 0.000 0.500 0.820 x2

Summary:
Energy relative to the elements ... 394 meV/atom
DOS(E_F) ... 4.2 states/eV/cell

DFT (PBE) results for crystalline Er12Ni5Pd3 at its relaxed geometry.

a b c (Å): 16.102 16.102 16.102
angles (deg): 90.00 90.00 90.00
Space group Ia-3d (No. 230)
Inequivalent atoms, fractional coordinates:
Er1 0.025 0.064 0.650 x96
Ni1 0.000 0.000 0.000 x16
Ni2 0.000 0.250 0.375 x24
Pd1 0.000 0.250 0.125 x24

Summary:
Energy relative to the elements ... -177 meV/atom
DOS(E_F) ... 118.3 states/eV/cell

DFT (PBE) results for crystalline Hg2SbSe2S at its relaxed geometry.

a b c (Å): 12.429 7.276 8.002
angles (deg): 90.00 90.00 90.00
Space group Cmc2_1 (No. 36)
Inequivalent atoms, fractional coordinates:
Hg1 0.162 0.240 0.000 x8
Sb1 0.000 0.254 0.510 x4
Se1 0.160 0.113 0.327 x8
S1 0.000 0.443 0.875 x4

Summary:
DOS(E_F) ... 8.7 states/eV/cell
Total energy ... -2.723 eV/atom

DFT (PBE) results for crystalline CaVCr2N4 at its relaxed geometry.

a b c (Å): 3.084 10.644 10.336
angles (deg): 90.00 90.00 90.00
Space group Cmcm (No. 63)
Inequivalent atoms, fractional coordinates:
Ca1 0.000 0.111 0.250 x4
V1 0.000 0.157 0.750 x4
Cr1 0.000 0.372 0.040 x8
N1 0.000 0.000 0.000 x4
N2 0.000 0.258 0.607 x8
N3 0.000 0.441 0.250 x4

Summary:
DOS(E_F) ... 14.9 states/eV/cell
Total energy ... -8.582 eV/atom

DFT (PBE) results for crystalline PmNdSb2 at its relaxed geometry.

a b c (Å): 4.5106 4.5106 22.0686
angles (deg): 90.00 90.00 120.00
Space group R-3m (No. 166, hexagonal axes)
Inequivalent atoms, fractional coordinates:
Pm1 0.0000 0.0000 0.0000 x3
Nd1 0.0000 0.0000 0.5000 x3
Sb1 0.0000 0.0000 0.2507 x6

Summary:
DOS(E_F) ... 1.9 states/eV/cell
Total energy ... -5.629 eV/atom

DFT (PBE) results for crystalline AcThOsRh at its relaxed geometry.

a b c (Å): 7.264 7.264 7.264
angles (deg): 90.00 90.00 90.00
Space group F-43m (No. 216)
Inequivalent atoms, fractional coordinates:
Ac1 0.000 0.000 0.000 x4
Th1 0.000 0.000 0.500 x4
Os1 0.250 0.250 0.750 x4
Rh1 0.250 0.250 0.250 x4

Summary:
Energy relative to the elements ... -232 meV/atom
DOS(E_F) ... 11.1 states/eV/cell

DFT (PBE) results for crystalline BeCdCo2I at its relaxed geometry.

a b c (Å): 4.577 4.577 5.879
angles (deg): 90.00 90.00 90.00
Space group P4/mmm (No. 123)
Inequivalent atoms, fractional coordinates:
Be1 0.000 0.000 0.000 x1
Cd1 0.500 0.500 0.000 x1
Co1 0.000 0.500 0.500 x2
I1 0.500 0.500 0.500 x1

Summary:
DOS(E_F) ... 7.5 states/eV/cell
Total energy ... -2.419 eV/atom

DFT (PBE) results for crystalline AcTm2Pu at its relaxed geometry.

a b c (Å): 3.648 3.648 9.854
angles (deg): 90.00 90.00 90.00
Space group P4/mmm (No. 123)
Inequivalent atoms, fractional coordinates:
Ac1 0.000 0.000 0.000 x1
Tm1 0.500 0.500 0.272 x2
Pu1 0.000 0.000 0.500 x1

Summary:
Energy relative to the elements ... 146 meV/atom
DOS(E_F) ... 10.7 states/eV/cell

DFT (PBE) results for crystalline Cs5K3Na6 at its relaxed geometry.

a b c (Å): 6.821 16.392 18.115
angles (deg): 90.00 90.00 90.00
Space group Immm (No. 71)
Inequivalent atoms, fractional coordinates:
Cs1 0.000 0.000 0.000 x2
Cs2 0.000 0.151 0.327 x8
K1 0.000 0.500 0.000 x2
K2 0.000 0.500 0.320 x4
Na1 0.000 0.229 0.094 x8
Na2 0.000 0.333 0.500 x4

Summary:
Energy relative to the elements ... 58 meV/atom
DOS(E_F) ... 17.8 states/eV/cell

DFT (PBE) results for crystalline Ba2PrNbN4 at its relaxed geometry.

a b c (Å): 7.147 7.465 10.450
angles (deg): 90.00 90.00 90.00
Space group Imma (No. 74)
Inequivalent atoms, fractional coordinates:
Ba1 0.000 0.000 0.000 x4
Ba2 0.250 0.250 0.250 x4
Pr1 0.000 0.000 0.500 x4
Nb1 0.250 0.250 0.750 x4
N1 0.000 0.050 0.744 x8
N2 0.231 0.250 0.545 x8

Summary:
DOS(E_F) ... 8.1 states/eV/cell
Total energy ... -7.164 eV/atom

DFT (PBE) results for crystalline K5Na4Tl2 at its relaxed geometry.

a b c (Å): 25.789 4.352 10.544
angles (deg): 90.00 105.95 90.00
Space group C2/m (No. 12)
Inequivalent atoms, fractional coordinates:
K1 0.000 0.000 0.000 x2
K2 0.124 0.500 0.750 x4
K3 0.203 0.500 0.162 x4
Na1 0.030 0.500 0.361 x4
Na2 0.139 0.000 0.410 x4
Tl1 0.224 0.500 0.575 x4

Summary:
Energy relative to the elements ... 12 meV/atom
DOS(E_F) ... 13.5 states/eV/cell